[1]
A relaxed structure of ThPa2Zn6, computed with PBE-GGA.

## Properties
As for the formation energy: -0.14 eV/atom.

abc: 7.9949 7.9949 3.2502
angles: 90.00 90.00 120.00
Atoms (fractional coordinates):
Th 0.0000 0.0000 0.0000
Pa 0.3333 0.6667 0.0000
Pa 0.6667 0.3333 0.0000
Zn 0.0000 0.3375 0.5000
Zn 0.0000 0.6625 0.5000
Zn 0.3375 0.0000 0.5000
Zn 0.3375 0.3375 0.5000
Zn 0.6625 0.0000 0.5000
Zn 0.6625 0.6625 0.5000

---

[2]
A relaxed structure of Tl2PBrF, computed with PBE-GGA.

## Properties
Its formation energy from raw total energies is -0.317 eV/atom.

abc: 5.6293 5.6293 5.0120
angles: 90.00 90.00 90.00
Atoms (fractional coordinates):
Tl 0.0000 0.5000 0.0000
Tl 0.5000 0.0000 0.0000
P 0.0000 0.0000 0.0000
Br 0.0000 0.0000 0.5000
F 0.5000 0.5000 0.5000

---

[3]
A relaxed structure of SmYBi, computed with PBE-GGA.

## Properties
As for the formation energy: -0.65 eV/atom.

abc: 4.6035 4.6035 8.7640
angles: 90.02 90.02 90.00
Atoms (fractional coordinates):
Sm 0.2496 0.2496 0.1510
Sm 0.7504 0.7504 0.8490
Y 0.2500 0.7500 0.5000
Y 0.7500 0.2500 0.5000
Bi 0.2504 0.2504 0.7773
Bi 0.7496 0.7496 0.2227

---

[4]
A relaxed structure of ZnRe3C, computed with PBE-GGA.

## Properties
As for the formation energy: 0.43 eV/atom. The excess energy over the best structure of this formula in the dataset is 0.00 eV per formula unit.

abc: 4.0820 4.0820 4.0820
angles: 90.00 90.00 90.00
Atoms (fractional coordinates):
Zn 0.0000 0.0000 0.0000
Re 0.0000 0.5000 0.5000
Re 0.5000 0.0000 0.5000
Re 0.5000 0.5000 0.0000
C 0.5000 0.5000 0.5000

---

[5]
A relaxed structure of PmTm2CdC, computed with PBE-GGA.

## Properties
As for the formation energy: -0.29 eV/atom.

abc: 4.8296 4.8296 5.1548
angles: 90.00 90.00 90.00
Atoms (fractional coordinates):
Pm 0.0000 0.0000 0.0000
Tm 0.0000 0.5000 0.5000
Tm 0.5000 0.0000 0.5000
Cd 0.5000 0.5000 0.0000
C 0.0000 0.0000 0.5000

---

[6]
A relaxed structure of Hf2GeAu, computed with PBE-GGA.

## Properties
As for the formation energy: -0.37 eV/atom.

abc: 4.7722 4.7722 4.7722
angles: 60.00 60.00 60.00
Atoms (fractional coordinates):
Hf 0.2500 0.2500 0.2500
Hf 0.7500 0.7500 0.7500
Ge 0.0000 0.0000 0.0000
Au 0.5000 0.5000 0.5000

---

[7]
A relaxed structure of La2Zn3Ir2, computed with PBE-GGA.

## Properties
As for the formation energy: -0.56 eV/atom.

abc: 5.4903 5.4903 7.4105
angles: 111.71 111.71 44.83
Atoms (fractional coordinates):
La 0.1425 0.1425 0.2665
La 0.8575 0.8575 0.7335
Zn 0.3536 0.3536 0.0584
Zn 0.5000 0.5000 0.5000
Zn 0.6464 0.6464 0.9416
Ir 0.1339 0.1339 0.6950
Ir 0.8661 0.8661 0.3050

---

[8]
A relaxed structure of CsCu3Si, computed with PBE-GGA.

## Properties
Its formation energy from raw total energies is 0.289 eV/atom. The excess energy over the best structure of this formula in the dataset is 0.00 eV per formula unit.

abc: 4.7727 4.7727 4.7727
angles: 90.00 90.00 90.00
Atoms (fractional coordinates):
Cs 0.0000 0.0000 0.0000
Cu 0.0000 0.5000 0.5000
Cu 0.5000 0.0000 0.5000
Cu 0.5000 0.5000 0.0000
Si 0.5000 0.5000 0.5000

---

[9]
A relaxed structure of Y2MoBr, computed with PBE-GGA.

## Properties
Its formation energy from raw total energies is -0.335 eV/atom. The excess energy over the best structure of this formula in the dataset is 0.00 eV per formula unit.

abc: 3.6083 3.4717 8.4459
angles: 90.00 90.18 90.00
Atoms (fractional coordinates):
Y 0.0016 0.0000 0.2029
Y 0.9984 0.0000 0.7971
Mo 0.5000 0.5000 0.0000
Br 0.0000 0.5000 0.5000

---

| no. | total DFT energy (no corrections) (eV for the cell shown) |
| --- | --- |
| 1 | -35.281 |
| 2 | -15.270 |
| 3 | -34.041 |
| 4 | -45.710 |
| 5 | -25.295 |
| 6 | -29.264 |
| 7 | -35.295 |
| 8 | -17.122 |
| 9 | -26.773 |